Compound: CeYRu
Source: Alexandria
Functional: GGA-PBE
Structure: optimized geometry

Cell: 6.9809 6.5887 7.6486 Å, 59.91 90.00 90.00°
Positions (direct):
1 Ce 0.8223 0.7543 0.5834
2 Y 0.8343 0.2429 0.0590
3 Ru 0.9589 0.7093 0.3031
4 Ru 0.0411 0.2907 0.6969
5 Ru 0.5411 0.7093 0.8031
6 Ce 0.3223 0.2457 0.9166
7 Y 0.1657 0.7571 0.9410
8 Y 0.6657 0.2429 0.5590
9 Y 0.3343 0.7571 0.4410
10 Ru 0.4589 0.2907 0.1969
11 Ce 0.6777 0.7543 0.0834
12 Ce 0.1777 0.2457 0.4166

Properties
The value obtained for the calculated volume is 25.37 Å³ per atom. The calculation puts the total magnetization at 0.0 μB per formula unit. The excess energy over the best structure of this formula in the dataset is 0.0 kJ per mole of atoms. As for the formation energy: -0.29 eV/atom. As for the density of states at the Fermi level: 1.060 states/eV per atom.

Compound: CeYRu
Source: Alexandria
Functional: GGA-PBE
Structure: optimized geometry

Cell: 4.8105 4.8105 4.8105 Å, 60.00 60.00 60.00°
Positions (direct):
1 Ce 0.5000 0.5000 0.5000
2 Ru 0.2500 0.2500 0.2500
3 Y 0.0000 0.0000 0.0000

Properties
The value obtained for the calculated volume is 26.24 Å³ per atom. The calculation puts the total magnetization at 0.7 μB per formula unit. The excess energy over the best structure of this formula in the dataset is 11.7 kJ per mole of atoms. As for the formation energy: -0.17 eV/atom. As for the density of states at the Fermi level: 2.155 states/eV per atom.

Compound: Ce2YRu2
Source: Alexandria
Functional: GGA-PBE
Structure: optimized geometry

Cell: 4.6963 7.0101 9.0320 Å, 84.79 64.34 63.41°
Positions (direct):
1 Ce 0.0505 0.6002 0.3144
2 Ru 0.4788 0.6836 0.5410
3 Y 0.6835 0.9638 0.6726
4 Y 0.3165 0.0362 0.3274
5 Ru 0.4961 0.7928 0.0087
6 Ce 0.1423 0.7177 0.9159
7 Ru 0.5039 0.2072 0.9913
8 Ce 0.8577 0.2823 0.0841
9 Ce 0.9495 0.3998 0.6856
10 Ru 0.5212 0.3164 0.4590

Properties
The value obtained for the calculated volume is 23.77 Å³ per atom. The calculation puts the total magnetization at 0.0 μB per formula unit. The excess energy over the best structure of this formula in the dataset is 0.0 kJ per mole of atoms. As for the formation energy: -0.30 eV/atom. As for the density of states at the Fermi level: 1.320 states/eV per atom.

Compound: Ce2YRu3
Source: Alexandria
Functional: GGA-PBE
Structure: optimized geometry

Cell: 4.7637 5.1013 12.1289 Å, 90.00 93.45 122.37°
Positions (direct):
1 Ru 0.7175 0.3588 0.0855
2 Ru 0.4059 0.7029 0.4236
3 Ru 0.0480 0.0240 0.7643
4 Ru 0.5941 0.2971 0.5764
5 Y 0.3255 0.6627 0.6665
6 Ce 0.6599 0.3300 0.8317
7 Ru 0.9520 0.9760 0.2357
8 Ce 0.0000 0.0000 0.0000
9 Ce 0.3401 0.6700 0.1683
10 Ru 0.2825 0.6412 0.9145
11 Ce 0.0000 0.0000 0.5000
12 Y 0.6745 0.3373 0.3335

Properties
The value obtained for the calculated volume is 20.69 Å³ per atom. The calculation puts the total magnetization at 0.0 μB per formula unit. The excess energy over the best structure of this formula in the dataset is 0.3 kJ per mole of atoms. As for the formation energy: -0.34 eV/atom. As for the density of states at the Fermi level: 0.598 states/eV per atom.